## Y6Al3Cd (PBE-GGA)

Data for Y6Al3Cd after structural relaxation.

abc: 5.1643 9.2544 11.3778
angles: 107.88 90.00 90.00
Atoms (fractional coordinates):
Y (0.7500, 0.3454, 0.3230)
Y (0.2500, 0.4574, 0.0875)
Y (0.7500, 0.7397, 0.4958)
Y (0.7500, 0.1759, 0.7028)
Al (0.2500, 0.5317, 0.3807)
Cd (0.2500, 0.9556, 0.5956)
Cd (0.7500, 0.0444, 0.4044)
Y (0.7500, 0.8726, 0.8404)
Al (0.7500, 0.4683, 0.6193)
Al (0.7500, 0.6159, 0.2122)
Al (0.2500, 0.7744, 0.9725)
Al (0.7500, 0.2256, 0.0275)
Y (0.2500, 0.8241, 0.2972)
Y (0.2500, 0.6546, 0.6770)
Y (0.7500, 0.5426, 0.9125)
Al (0.2500, 0.3841, 0.7878)
Y (0.2500, 0.1274, 0.1596)
Y (0.7500, 0.8927, 0.1227)
Y (0.2500, 0.1073, 0.8773)
Y (0.2500, 0.2603, 0.5042)

Crystal system ... monoclinic
Space group ... P2_1/m (11)
DOS(E_F) ... 0.939 states/eV/atom
ΔH_f (0 K) ... -3.0 eV/f.u.
Magnetization ... 0.0 μB per formula unit
VASP energy ... -5.3932 eV per atom